Computed, not measured: an optimized crystal structure of MnReMo2H at the PBE level of DFT.

Cell lengths 3.9901, 3.9901, 3.7624 Å; angles 90.00, 90.00, 90.00 degrees
Element x y z (fractional)
1 Re 0.5000 0.5000 0.5000
2 Mo 0.0000 0.5000 0.0000
3 Mo 0.5000 0.0000 0.0000
4 Mn 0.0000 0.0000 0.5000
5 H 0.0000 0.0000 0.0000

Calculated values
The calculation puts the final energy at -9.18 eV/atom. The calculation puts the volume at 12.0 Å³/atom.

---

Computed, not measured: an optimized crystal structure of ScReRu at the PBE level of DFT.

Cell lengths 4.2941, 4.2941, 4.2941 Å; angles 60.00, 60.00, 60.00 degrees
Element x y z (fractional)
1 Re 0.5000 0.5000 0.5000
2 Ru 0.2500 0.2500 0.2500
3 Sc 0.0000 0.0000 0.0000

Calculated values
The calculation puts the final energy at -9.13 eV/atom. For the energy above the most stable polymorph in this dataset, the calculation gives 0.566 eV/atom. As for the formation energy from the elements: 226 meV per atom. The calculation puts the volume at 18.7 Å³/atom.

---

Computed, not measured: an optimized crystal structure of USnPdRh at the PBE level of DFT.

Cell lengths 4.7894, 4.7894, 4.7894 Å; angles 60.00, 60.00, 60.00 degrees
Element x y z (fractional)
1 Rh 0.7500 0.7500 0.7500
2 U 0.0000 0.0000 0.0000
3 Sn 0.5000 0.5000 0.5000
4 Pd 0.2500 0.2500 0.2500

Calculated values
The calculation puts the final energy at -7.38 eV/atom. As for the formation energy from the elements: -419 meV per atom. The calculation puts the volume at 19.4 Å³/atom.

---

Computed, not measured: an optimized crystal structure of Ba3CaAs2O8 at the PBE level of DFT.

Cell lengths 6.0267, 6.0267, 7.7876 Å; angles 90.00, 90.00, 120.00 degrees
Element x y z (fractional)
1 Ba 0.3333 0.6667 0.6505
2 Ba 0.6667 0.3333 0.3495
3 Ba 0.0000 0.0000 0.0000
4 Ca 0.0000 0.0000 0.5000
5 As 0.3333 0.6667 0.2074
6 As 0.6667 0.3333 0.7926
7 O 0.3333 0.6667 0.9695
8 O 0.6667 0.3333 0.0305
9 O 0.1742 0.8258 0.3157
10 O 0.8258 0.1742 0.6843
11 O 0.1742 0.3485 0.3157
12 O 0.8258 0.6515 0.6843
13 O 0.6515 0.8258 0.3157
14 O 0.3485 0.1742 0.6843

Calculated values
The energy relative to the elements, uncorrected is -202 kJ per mole of atoms. The calculation puts the final energy at -6.14 eV/atom. The calculation puts the volume at 17.5 Å³/atom.

---

Computed, not measured: an optimized crystal structure of PuThSn2 at the PBE level of DFT.

Cell lengths 4.9099, 4.9099, 5.7082 Å; angles 115.45, 115.45, 90.05 degrees
Element x y z (fractional)
1 Pu 0.0000 0.0000 0.0000
2 Th 0.5000 0.5000 0.0000
3 Sn 0.2500 0.7500 0.5000
4 Sn 0.7500 0.2500 0.5000

Calculated values
The calculation puts the final energy at -7.86 eV/atom. For the energy above the most stable polymorph in this dataset, the calculation gives 0.021 eV/atom. As for the formation energy from the elements: -424 meV per atom. The calculation puts the volume at 27.3 Å³/atom.

---

Computed, not measured: an optimized crystal structure of Sr3Ag2PtO6 at the PBE level of DFT.

Cell lengths 5.8709, 5.8709, 6.4342 Å; angles 90.00, 90.00, 120.00 degrees
Element x y z (fractional)
1 Sr 0.3333 0.6667 0.5966
2 Sr 0.6667 0.3333 0.4034
3 Sr 0.0000 0.0000 0.0000
4 Ag 0.6667 0.3333 0.9136
5 Ag 0.3333 0.6667 0.0864
6 Pt 0.0000 0.0000 0.5000
7 O 0.6750 0.8375 0.3138
8 O 0.1625 0.3250 0.3138
9 O 0.1625 0.8375 0.3138
10 O 0.8375 0.6750 0.6862
11 O 0.3250 0.1625 0.6862
12 O 0.8375 0.1625 0.6862

Calculated values
The energy relative to the elements, uncorrected is -132 kJ per mole of atoms. The calculation puts the final energy at -5.25 eV/atom. The calculation puts the volume at 16.0 Å³/atom.

---

Computed, not measured: an optimized crystal structure of Ga2SnPb at the PBE level of DFT.

Cell lengths 3.7064, 3.7064, 7.1341 Å; angles 90.00, 90.00, 90.00 degrees
Element x y z (fractional)
1 Pb 0.5000 0.5000 0.5000
2 Sn 0.5000 0.5000 0.0000
3 Ga 0.0000 0.0000 0.7711
4 Ga 0.0000 0.0000 0.2289

Calculated values
The calculation puts the final energy at -3.39 eV/atom. For the energy above the most stable polymorph in this dataset, the calculation gives 0.003 eV/atom. As for the formation energy from the elements: 51 meV per atom. The calculation puts the volume at 24.5 Å³/atom.

---

Computed, not measured: an optimized crystal structure of Tb4AgIr2 at the PBE level of DFT.

Cell lengths 7.5559, 7.5545, 7.6463 Å; angles 109.14, 109.15, 109.65 degrees
Element x y z (fractional)
1 Tb 0.0002 0.2486 0.3927
2 Tb 0.3869 0.5023 0.2426
3 Tb 0.8564 0.6078 0.6079
4 Tb 0.7522 0.1367 0.7419
5 Tb 0.3942 0.0098 0.2573
6 Tb 0.2602 0.1446 0.7581
7 Tb 0.4985 0.7500 0.8920
8 Tb 0.8575 0.6061 0.1075
9 Ag 0.2475 0.7478 0.4998
10 Ag 0.9972 0.9977 0.0001
11 Ir 0.4926 0.3769 0.6202
12 Ir 0.7569 0.8722 0.3797
13 Ir 0.6273 0.2424 0.1203
14 Ir 0.1225 0.5070 0.8800

Calculated values
The calculation puts the final energy at -6.18 eV/atom. For the energy above the most stable polymorph in this dataset, the calculation gives 0.040 eV/atom. As for the formation energy from the elements: -591 meV per atom. The calculation puts the volume at 24.1 Å³/atom.

---

Computed, not measured: an optimized crystal structure of Ba4GeSI2 at the PBE level of DFT.

Cell lengths 4.8375, 8.2786, 8.8828 Å; angles 108.54, 90.00, 90.00 degrees
Element x y z (fractional)
1 Ba 0.5000 0.2367 0.1992
2 Ba 0.5000 0.7633 0.8008
3 Ba 0.0000 0.2652 0.7927
4 Ba 0.0000 0.7348 0.2073
5 Ge 0.5000 0.5000 0.0000
6 S 0.0000 0.0000 0.0000
7 I 0.5000 0.0000 0.5000
8 I 0.0000 0.5000 0.5000

Calculated values
The energy relative to the elements, uncorrected is -136 kJ per mole of atoms. The calculation puts the final energy at -3.85 eV/atom. The calculation puts the volume at 42.2 Å³/atom.

---

Computed, not measured: an optimized crystal structure of Nd5TlRu at the PBE level of DFT.

Cell lengths 6.2344, 6.2344, 12.0477 Å; angles 76.49, 76.49, 76.09 degrees
Element x y z (fractional)
1 Nd 0.9263 0.5850 0.1263
2 Nd 0.2076 0.5504 0.5567
3 Nd 0.5850 0.9263 0.6263
4 Nd 0.0029 0.9971 0.2500
5 Nd 0.4496 0.7924 0.9433
6 Nd 0.5504 0.2076 0.0567
7 Nd 0.9971 0.0029 0.7500
8 Nd 0.4150 0.0737 0.3737
9 Nd 0.7924 0.4496 0.4433
10 Nd 0.0737 0.4150 0.8737
11 Tl 0.4152 0.5848 0.2500
12 Tl 0.5848 0.4152 0.7500
13 Ru 0.0000 0.0000 0.0000
14 Ru 0.0000 0.0000 0.5000

Calculated values
The calculation puts the final energy at -5.18 eV/atom. As for the formation energy from the elements: -109 meV per atom. The calculation puts the volume at 31.0 Å³/atom.

---

Computed, not measured: an optimized crystal structure of Rb2Ba2Ca at the PBE level of DFT.

Cell lengths 5.4089, 5.4089, 12.6053 Å; angles 77.61, 77.61, 90.00 degrees
Element x y z (fractional)
1 Ca 0.0000 0.0000 0.0000
2 Ba 0.4148 0.4148 0.1704
3 Ba 0.5852 0.5852 0.8296
4 Rb 0.7500 0.2500 0.5000
5 Rb 0.2500 0.7500 0.5000

Calculated values
The calculation puts the final energy at -1.27 eV/atom. For the energy above the most stable polymorph in this dataset, the calculation gives 0.000 eV/atom. As for the formation energy from the elements: 289 meV per atom. The calculation puts the volume at 70.3 Å³/atom.

---

Number 1: Fermi-level density of states 1.017 states/eV/atom, magnetic moment 0.00 μB/f.u.. Number 2: Fermi-level density of states 0.869 states/eV/atom, magnetic moment 0.00 μB/f.u.. Number 3: Fermi-level density of states 1.494 states/eV/atom, magnetic moment 1.96 μB/f.u.. Number 4: Fermi-level density of states 0.263 states/eV/atom, magnetic moment 1.76 μB/f.u.. Number 5: Fermi-level density of states 3.040 states/eV/atom, magnetic moment 6.11 μB/f.u.. Number 6: Fermi-level density of states 0.399 states/eV/atom, magnetic moment 0.00 μB/f.u.. Number 7: Fermi-level density of states 0.244 states/eV/atom, magnetic moment 0.00 μB/f.u.. Number 8: Fermi-level density of states 0.647 states/eV/atom, magnetic moment 0.00 μB/f.u.. Number 9: Fermi-level density of states 0.159 states/eV/atom, magnetic moment 0.00 μB/f.u.. Number 10: Fermi-level density of states 1.045 states/eV/atom, magnetic moment 0.00 μB/f.u.. Number 11: Fermi-level density of states 1.586 states/eV/atom, magnetic moment 0.77 μB/f.u..